Record 1
Crystalline AcBiIrO6 at its relaxed geometry. Source: Alexandria via LeMat-Bulk, functional PBE.

Unit cell a=5.9406 b=5.9406 c=8.8377 alpha=90.00 beta=90.00 gamma=120.00
Element x y z (fractional)
1 Ac 0.3333 0.6667 0.2500
2 Ac 0.6667 0.3333 0.7500
3 Bi 0.0000 0.0000 0.0000
4 Bi 0.0000 0.0000 0.5000
5 Ir 0.6667 0.3333 0.2500
6 Ir 0.3333 0.6667 0.7500
7 O 0.6793 0.6144 0.1257
8 O 0.9351 0.3207 0.1257
9 O 0.3207 0.9351 0.6257
10 O 0.0649 0.6793 0.8743
11 O 0.3856 0.3207 0.3743
12 O 0.9351 0.6144 0.3743
13 O 0.6144 0.9351 0.8743
14 O 0.6793 0.0649 0.3743
15 O 0.0649 0.3856 0.6257
16 O 0.3856 0.0649 0.1257
17 O 0.6144 0.6793 0.6257
18 O 0.3207 0.3856 0.8743

space-group type: P-31c, No. 163
formation energy (no corrections): -1.4839 eV per atom

---

Record 2
Crystalline AcPmBiIr at its relaxed geometry. Source: Alexandria via LeMat-Bulk, functional PBE.

Unit cell a=5.4581 b=5.4581 c=5.4581 alpha=60.00 beta=60.00 gamma=60.00
Element x y z (fractional)
1 Ac 0.2500 0.2500 0.2500
2 Ir 0.5000 0.5000 0.5000
3 Bi 0.0000 0.0000 0.0000
4 Pm 0.7500 0.7500 0.7500

formation enthalpy at 0 K: -0.430 eV per atom
space-group type: F-43m, No. 216

---

Record 3
Crystalline Ac3BiIrRh at its relaxed geometry. Source: Alexandria via LeMat-Bulk, functional PBE.

Unit cell a=4.5338 b=8.9673 c=10.6753 alpha=117.32 beta=90.00 gamma=90.00
Element x y z (fractional)
1 Ac 0.2500 0.7424 0.4784
2 Ac 0.7500 0.9204 0.1358
3 Ac 0.7500 0.4817 0.1403
4 Ac 0.7500 0.2576 0.5216
5 Ac 0.2500 0.5183 0.8597
6 Ac 0.2500 0.0796 0.8642
7 Bi 0.7500 0.7297 0.7386
8 Bi 0.2500 0.2703 0.2614
9 Ir 0.2500 0.7266 0.1766
10 Ir 0.7500 0.2734 0.8234
11 Rh 0.2500 0.1085 0.6058
12 Rh 0.7500 0.8915 0.3942

formation enthalpy at 0 K: -0.644 eV per atom
space-group type: P2_1/m, No. 11

---

Record 4
Crystalline Ac2BiSb3Ir4 at its relaxed geometry. Source: Alexandria via LeMat-Bulk, functional PBE.

Unit cell a=4.6727 b=4.6727 c=10.7526 alpha=90.00 beta=90.00 gamma=90.00
Element x y z (fractional)
1 Ac 0.5000 0.0000 0.2412
2 Ac 0.0000 0.5000 0.7588
3 Bi 0.5000 0.5000 0.5000
4 Sb 0.0000 0.0000 0.5000
5 Sb 0.5000 0.0000 0.8728
6 Sb 0.0000 0.5000 0.1272
7 Ir 0.5000 0.5000 0.0000
8 Ir 0.0000 0.0000 0.0000
9 Ir 0.5000 0.0000 0.6306
10 Ir 0.0000 0.5000 0.3694

space-group type: P-4m2, No. 115
formation energy (no corrections): -0.5436 eV per atom

---

Record 5
Crystalline Ac4Bi2IrSe at its relaxed geometry. Source: Alexandria via LeMat-Bulk, functional PBE.

Unit cell a=4.6472 b=8.0770 c=8.0592 alpha=109.04 beta=90.00 gamma=90.00
Element x y z (fractional)
1 Ac 0.5000 0.2603 0.2254
2 Ac 0.5000 0.7397 0.7746
3 Ac 0.0000 0.2723 0.7803
4 Ac 0.0000 0.7277 0.2197
5 Bi 0.5000 0.0000 0.5000
6 Bi 0.0000 0.5000 0.5000
7 Ir 0.5000 0.5000 0.0000
8 Se 0.0000 0.0000 0.0000

space-group type: P2/m, No. 10
formation energy (no corrections): -1.0718 eV per atom

---

Record 6
Crystalline Ac6BiIr2Se3 at its relaxed geometry. Source: Alexandria via LeMat-Bulk, functional PBE.

Unit cell a=4.4603 b=9.3290 c=10.1918 alpha=104.94 beta=102.64 gamma=90.00
Element x y z (fractional)
1 Ac 0.3259 0.8858 0.6518
2 Ac 0.6756 0.5686 0.3512
3 Ac 0.6741 0.1142 0.3482
4 Ac 0.0130 0.2669 0.0261
5 Ac 0.9870 0.7331 0.9739
6 Ac 0.3244 0.4314 0.6488
7 Bi 0.5000 0.0000 0.0000
8 Ir 0.8308 0.6627 0.6615
9 Ir 0.1692 0.3373 0.3385
10 Se 0.5000 0.5000 0.0000
11 Se 0.8400 0.1623 0.6801
12 Se 0.1600 0.8377 0.3199

space-group type: C2/m, No. 12
formation energy (no corrections): -1.3101 eV per atom

---

no.,V (Å³ per cell)
1,270.1
2,115.0
3,385.6
4,234.8
5,286.0
6,399.1